Crystalline AcMg10Zn3 at its relaxed geometry, computed with PBE.

The formation energy comes out at 0.0049 eV per atom. For the total energy, the calculation gives -1.7005 eV per atom. The space group is Fm-3m, No. 225. The total magnetization is 0.0 μB per formula unit. The density of states at the Fermi level is 15.1 states/eV/cell.

a = 9.8796 Å, b = 9.8796 Å, c = 9.8796 Å
α = 60.00°, β = 60.00°, γ = 60.00°
Element x y z (fractional)
1 Ac 0.2500 0.2500 0.2500
2 Ac 0.7500 0.7500 0.7500
3 Mg 0.0000 0.0000 0.3440
4 Mg 0.0000 0.0000 0.6560
5 Mg 0.0000 0.3440 0.0000
6 Mg 0.0000 0.3440 0.6560
7 Mg 0.0000 0.6560 0.0000
8 Mg 0.0000 0.6560 0.3440
9 Mg 0.1682 0.6106 0.6106
10 Mg 0.3440 0.0000 0.0000
11 Mg 0.3440 0.0000 0.6560
12 Mg 0.3440 0.6560 0.0000
13 Mg 0.3894 0.3894 0.3894
14 Mg 0.3894 0.3894 0.8318
15 Mg 0.3894 0.8318 0.3894
16 Mg 0.6106 0.1682 0.6106
17 Mg 0.6106 0.6106 0.1682
18 Mg 0.6106 0.6106 0.6106
19 Mg 0.6560 0.0000 0.0000
20 Mg 0.6560 0.0000 0.3440
21 Mg 0.6560 0.3440 0.0000
22 Mg 0.8318 0.3894 0.3894
23 Zn 0.2670 0.2670 0.7330
24 Zn 0.2670 0.7330 0.2670
25 Zn 0.2670 0.7330 0.7330
26 Zn 0.7330 0.2670 0.2670
27 Zn 0.7330 0.2670 0.7330
28 Zn 0.7330 0.7330 0.2670

---

Crystalline HfVPd2 at its relaxed geometry, computed with PBE.

The formation energy comes out at 0.0754 eV per atom. For the total energy, the calculation gives -7.2891 eV per atom. The space group is I-42d, No. 122. The energy above the most stable polymorph in this dataset comes out at 479.8 meV/atom. The total magnetization is 0.0 μB per formula unit. The density of states at the Fermi level is 6.9 states/eV/cell.

a = 9.4336 Å, b = 9.4336 Å, c = 9.4336 Å
α = 155.82°, β = 155.82°, γ = 34.46°
Element x y z (fractional)
1 Hf 0.0000 0.0000 0.0000
2 Hf 0.7500 0.2500 0.5000
3 V 0.2500 0.7500 0.5000
4 V 0.5000 0.5000 0.0000
5 Pd 0.1359 0.6250 0.0109
6 Pd 0.3750 0.3859 0.5109
7 Pd 0.6141 0.1250 0.9891
8 Pd 0.8750 0.8641 0.4891

---

Crystalline CaCrNi at its relaxed geometry, computed with PBE.

The formation energy comes out at 1.3273 eV per atom. For the total energy, the calculation gives -4.4748 eV per atom. The space group is P6_3/mmc, No. 194. The energy above the most stable polymorph in this dataset comes out at 1110.3 meV/atom. The total magnetization is 4.2 μB per formula unit. The density of states at the Fermi level is 4.4 states/eV/cell.

a = 5.0984 Å, b = 5.0984 Å, c = 8.7692 Å
α = 90.00°, β = 90.00°, γ = 120.00°
Element x y z (fractional)
1 Ca 0.3333 0.6667 0.2500
2 Ca 0.6667 0.3333 0.7500
3 Cr 0.0000 0.0000 0.2500
4 Cr 0.0000 0.0000 0.7500
5 Ni 0.0000 0.0000 0.0000
6 Ni 0.0000 0.0000 0.5000

---

Crystalline CaCeTeO2 at its relaxed geometry, computed with PBE.

For the total energy, the calculation gives -6.9243 eV per atom. The space group is I4mm, No. 107. For the uncorrected formation energy, the calculation gives -2726 meV/atom. The total magnetization is 0.2 μB per formula unit. The density of states at the Fermi level is 0.1 states/eV/cell.

a = 6.9674 Å, b = 6.9674 Å, c = 6.9674 Å
α = 146.71°, β = 146.71°, γ = 47.79°
Element x y z (fractional)
1 Ca 0.0000 0.0000 0.0000
2 Ce 0.3264 0.3264 0.0000
3 Te 0.6663 0.6663 0.0000
4 O 0.4050 0.9050 0.5000
5 O 0.9050 0.4050 0.5000

---

Crystalline CsCdNiH6 at its relaxed geometry, computed with PBE.

For the total energy, the calculation gives -3.0927 eV per atom. The space group is P312, No. 149. The total magnetization is 0.0 μB per formula unit. The density of states at the Fermi level is 2.1 states/eV/cell.

a = 4.8539 Å, b = 4.8539 Å, c = 6.1853 Å
α = 90.00°, β = 90.00°, γ = 120.00°
Element x y z (fractional)
1 Cs 0.0000 0.0000 0.0000
2 Cd 0.3333 0.6667 0.5000
3 Ni 0.6667 0.3333 0.5000
4 H 0.4656 0.0623 0.6707
5 H 0.4656 0.4033 0.3293
6 H 0.5967 0.0623 0.3293
7 H 0.5967 0.5344 0.6707
8 H 0.9377 0.4033 0.6707
9 H 0.9377 0.5344 0.3293

---

Crystalline TaCd2Fe at its relaxed geometry, computed with PBE.

The formation energy comes out at 0.4171 eV per atom. For the total energy, the calculation gives -5.1193 eV per atom. The space group is Pmmm, No. 47. The energy above the most stable polymorph in this dataset comes out at 263.6 meV/atom. The total magnetization is 2.2 μB per formula unit. The density of states at the Fermi level is 2.4 states/eV/cell.

a = 2.8153 Å, b = 4.4104 Å, c = 5.7061 Å
α = 90.00°, β = 90.00°, γ = 90.00°
Element x y z (fractional)
1 Ta 0.0000 0.0000 0.0000
2 Cd 0.5000 0.5000 0.2586
3 Cd 0.5000 0.5000 0.7414
4 Fe 0.0000 0.0000 0.5000

---

Crystalline CaPtW2 at its relaxed geometry, computed with PBE.

The formation energy comes out at 0.5535 eV per atom. For the total energy, the calculation gives -7.9337 eV per atom. The space group is Pmmm, No. 47. The energy above the most stable polymorph in this dataset comes out at 383.0 meV/atom. The total magnetization is 0.0 μB per formula unit. The density of states at the Fermi level is 3.8 states/eV/cell.

a = 2.7361 Å, b = 4.8758 Å, c = 5.3764 Å
α = 90.00°, β = 90.00°, γ = 90.00°
Element x y z (fractional)
1 Ca 0.0000 0.0000 0.0000
2 Pt 0.0000 0.0000 0.5000
3 W 0.5000 0.5000 0.2513
4 W 0.5000 0.5000 0.7487

---

Crystalline BeAlAs2 at its relaxed geometry, computed with PBE.

The formation energy comes out at 0.5291 eV per atom. For the total energy, the calculation gives -3.6628 eV per atom. The space group is F-43m, No. 216. The energy above the most stable polymorph in this dataset comes out at 698.0 meV/atom. The total magnetization is 0.0 μB per formula unit. The density of states at the Fermi level is 3.2 states/eV/cell.

a = 4.5472 Å, b = 4.5472 Å, c = 4.5472 Å
α = 60.00°, β = 60.00°, γ = 60.00°
Element x y z (fractional)
1 Be 0.0000 0.0000 0.0000
2 Al 0.2500 0.2500 0.2500
3 As 0.5000 0.5000 0.5000
4 As 0.7500 0.7500 0.7500

---

Crystalline Sr2Cr at its relaxed geometry, computed with PBE.

The formation energy comes out at 0.5629 eV per atom. For the total energy, the calculation gives -3.7661 eV per atom. The space group is P6_3/mmc, No. 194. The total magnetization is 5.0 μB per formula unit. The density of states at the Fermi level is 5.6 states/eV/cell.

a = 5.9955 Å, b = 5.9955 Å, c = 7.5077 Å
α = 90.00°, β = 90.00°, γ = 120.00°
Element x y z (fractional)
1 Sr 0.0000 0.0000 0.0000
2 Sr 0.0000 0.0000 0.5000
3 Sr 0.3333 0.6667 0.2500
4 Sr 0.6667 0.3333 0.7500
5 Cr 0.3333 0.6667 0.7500
6 Cr 0.6667 0.3333 0.2500

---

Crystalline InTc2OsSe at its relaxed geometry, computed with PBE.

For the total energy, the calculation gives -6.5476 eV per atom. The space group is P4/mmm, No. 123. For the uncorrected formation energy, the calculation gives 1089 meV/atom. The total magnetization is 1.0 μB per formula unit. The density of states at the Fermi level is 5.0 states/eV/cell.

a = 4.5656 Å, b = 4.5656 Å, c = 4.5513 Å
α = 90.00°, β = 90.00°, γ = 90.00°
Element x y z (fractional)
1 In 0.0000 0.0000 0.0000
2 Tc 0.0000 0.5000 0.5000
3 Tc 0.5000 0.0000 0.5000
4 Os 0.5000 0.5000 0.0000
5 Se 0.5000 0.5000 0.5000

---

Crystalline TmGa8Os2 at its relaxed geometry, computed with PBE.

The formation energy comes out at -0.1766 eV per atom. For the total energy, the calculation gives -4.8262 eV per atom. The space group is C2/m, No. 12. The total magnetization is 0.0 μB per formula unit. The density of states at the Fermi level is 3.6 states/eV/cell.

a = 6.7142 Å, b = 6.7142 Å, c = 4.7964 Å
α = 98.75°, β = 98.75°, γ = 98.50°
Element x y z (fractional)
1 Tm 0.0000 0.0000 0.0000
2 Ga 0.0975 0.3522 0.6038
3 Ga 0.2952 0.7048 0.0000
4 Ga 0.3522 0.0975 0.6038
5 Ga 0.3688 0.3688 0.2461
6 Ga 0.6312 0.6312 0.7539
7 Ga 0.6478 0.9025 0.3962
8 Ga 0.7048 0.2952 0.0000
9 Ga 0.9025 0.6478 0.3962
10 Os 0.2825 0.7175 0.5000
11 Os 0.7175 0.2825 0.5000

---

Crystalline PmPr2Ag3 at its relaxed geometry, computed with PBE.

The formation energy comes out at -0.2553 eV per atom. For the total energy, the calculation gives -4.0659 eV per atom. The space group is P4/mmm, No. 123. The total magnetization is 0.0 μB per formula unit. The density of states at the Fermi level is 4.8 states/eV/cell.

a = 3.7490 Å, b = 3.7490 Å, c = 11.4012 Å
α = 90.00°, β = 90.00°, γ = 90.00°
Element x y z (fractional)
1 Pm 0.0000 0.0000 0.0000
2 Pr 0.0000 0.0000 0.3316
3 Pr 0.0000 0.0000 0.6684
4 Ag 0.5000 0.5000 0.1606
5 Ag 0.5000 0.5000 0.5000
6 Ag 0.5000 0.5000 0.8394